Record 1
## Cr6Pb7 (PBE)

Data for a geometry-optimized Cr6Pb7 structure.

The structure in extended XYZ format:
```
13
Lattice="3.251 1.877 9.547 -3.251 1.877 9.547 0.000 -3.754 9.547" Properties=species:S:1:pos:R:3 pbc="T T T"
Cr 0.000 0.000 1.565
Cr 0.000 0.000 4.745
Cr 0.000 0.000 9.630
Cr 0.000 0.000 19.011
Cr 0.000 0.000 23.896
Cr 0.000 0.000 27.076
Pb -1.681 -0.971 11.792
Pb 0.000 -1.941 16.850
Pb -1.681 0.971 16.850
Pb 0.000 0.000 14.321
Pb 1.681 -0.971 11.792
Pb 0.000 1.941 11.792
Pb 1.681 0.971 16.850
```

## Properties
Energy of formation from the pure elements: 0.9229 eV per atom
Raw total energy: -5.5154 eV/atom



Record 2
## Tl6HgTeSe2 (PBE)

Data for a geometry-optimized Tl6HgTeSe2 structure.

The structure in extended XYZ format:
```
10
Lattice="7.543 0.000 0.000 -3.383 6.978 0.000 -3.699 -2.398 6.678" Properties=species:S:1:pos:R:3 pbc="T T T"
Tl 0.000 0.000 0.000
Tl -2.091 0.747 2.727
Tl -1.146 4.744 2.677
Tl 0.349 -1.916 5.596
Tl 1.227 1.502 4.255
Tl 3.360 3.593 1.045
Hg -4.120 0.761 6.626
Te 1.839 4.636 3.779
Se -2.005 2.246 5.352
Se 2.555 0.641 1.596
```

## Properties
Raw total energy: -2.7159 eV/atom
Formation energy without anion corrections: -0.255 eV/atom



Record 3
## Er5Al2Sb2 (PBE)

Data for a geometry-optimized Er5Al2Sb2 structure.

The structure in extended XYZ format:
```
18
Lattice="7.684 -3.956 0.000 7.684 3.956 0.000 0.000 0.000 7.907" Properties=species:S:1:pos:R:3 pbc="T T T"
Er 0.000 0.000 0.000
Er 5.645 2.603 5.291
Er 5.645 1.354 1.338
Er 9.724 2.603 5.291
Er 9.724 1.354 1.338
Er 7.684 0.000 3.953
Er 5.645 -1.354 6.569
Er 5.645 -2.603 2.616
Er 9.724 -1.354 6.569
Er 9.724 -2.603 2.616
Al 7.684 2.990 2.993
Al 7.684 0.967 6.947
Al 7.684 -0.967 0.960
Al 7.684 -2.990 4.913
Sb 3.156 0.000 0.000
Sb 4.528 0.000 3.953
Sb 10.841 0.000 3.953
Sb 12.213 0.000 0.000
```

## Properties
Raw total energy: -4.9851 eV/atom
Formation energy without anion corrections: -0.702 eV/atom



Record 4
## Ho6AgSe3S2 (PBE)

Data for a geometry-optimized Ho6AgSe3S2 structure.

The structure in extended XYZ format:
```
12
Lattice="3.479 -6.030 0.000 3.479 6.030 0.000 -2.329 0.000 6.581" Properties=species:S:1:pos:R:3 pbc="T T T"
Ho -0.041 2.088 5.002
Ho 1.076 0.000 1.570
Ho -0.041 -2.088 5.002
Ho 4.671 2.088 1.579
Ho 3.554 0.000 5.012
Ho 4.671 -2.088 1.579
Ag 3.479 0.000 0.000
Se -1.164 0.000 3.291
Se 2.315 1.986 3.291
Se 2.315 -1.986 3.291
S 3.479 4.028 0.000
S 3.479 -4.028 0.000
```

## Properties
Raw total energy: -5.6434 eV/atom
Formation energy without anion corrections: -1.558 eV/atom